(1)
This record from the Alexandria database describes a geometry-optimized CaLaAg3 structure. The functional is GGA-PBE.

Unit cell a=14.2512 b=14.2512 c=4.8218 alpha=90.00 beta=90.00 gamma=164.63
Last column: nearest neighbours and their distance in Å.
Fractional coordinates of all 10 atoms:
Ca: 0.2077 0.7923 0.7500  7 Ag 3.09-3.27
Ca: 0.7923 0.2077 0.2500  7 Ag 3.09-3.27
La: 0.0742 0.9258 0.2500  12 Ag 3.35-3.46
La: 0.9258 0.0742 0.7500  12 Ag 3.35-3.46
Ag: 0.3236 0.6764 0.7500  2 Ag 2.86, 4 Ca 3.20
Ag: 0.3783 0.6217 0.2500  3 Ag 2.76-2.86, 2 Ca 3.09
Ag: 0.4760 0.5240 0.2500  3 Ag 2.76
Ag: 0.5240 0.4760 0.7500  3 Ag 2.76
Ag: 0.6217 0.3783 0.7500  3 Ag 2.76-2.86, 2 Ca 3.09
Ag: 0.6764 0.3236 0.2500  2 Ag 2.86, 4 Ca 3.20

Properties
E	-0.1245	Ha/atom
formation enthalpy at 0 K	-0.29	eV per atom
E above lowest polymorph	0	meV per atom
SG	Cmcm

***

(2)
This record from the Alexandria database describes a geometry-optimized SrLi3Be structure. The functional is GGA-PBE.

Unit cell a=4.8968 b=4.8968 c=4.8968 alpha=90.00 beta=90.00 gamma=90.00
Last column: nearest neighbours and their distance in Å.
Fractional coordinates of all 5 atoms:
Sr: 0.0000 0.0000 0.0000  12 Li 3.46
Li: 0.0000 0.5000 0.5000  2 Be 2.45
Li: 0.5000 0.0000 0.5000  2 Be 2.45
Li: 0.5000 0.5000 0.0000  2 Be 2.45
Be: 0.5000 0.5000 0.5000  6 Li 2.45

Properties
E	-0.0725	Ha/atom
formation enthalpy at 0 K	0.26	eV per atom
E above lowest polymorph	0	meV per atom
SG	Pm-3m

***

(3)
This record from the Alexandria database describes a geometry-optimized ZnCrMo2 structure. The functional is GGA-PBE.

Unit cell a=2.6294 b=4.3685 c=5.1071 alpha=90.00 beta=100.06 gamma=90.00
Last column: nearest neighbours and their distance in Å.
Fractional coordinates of all 4 atoms:
Zn: 0.0000 0.0000 0.0000  2 Zn 2.63, 2 Cr 2.63, 7 Mo 2.67-2.91
Cr: 0.8462 0.5000 0.2620  4 Mo 2.59-2.68, 2 Cr 2.63, 2 Zn 2.63
Mo: 0.3509 0.5000 0.7573  4 Mo 2.63-2.73, 2 Cr 2.64-2.68, 4 Zn 2.75-2.91
Mo: 0.5974 0.0000 0.4831  2 Cr 2.59, 4 Mo 2.63-2.73, 3 Zn 2.67-2.85

Properties
E	-0.2927	Ha/atom
formation enthalpy at 0 K	0.18	eV per atom
SG	Pm

***

(4)
This record from the Alexandria database describes a geometry-optimized CeCd2I6 structure. The functional is GGA-PBE.

Unit cell a=9.0138 b=9.0138 c=9.0138 alpha=54.09 beta=54.09 gamma=54.09
Last column: nearest neighbours and their distance in Å.
Fractional coordinates of all 9 atoms:
Ce: 0.0000 0.0000 0.0000  6 I 3.15
Cd: 0.6060 0.6060 0.6060  1 Cd 2.82, 3 I 2.88
Cd: 0.7287 0.7287 0.7287  1 Cd 2.82, 3 I 2.89
I: 0.0800 0.7843 0.3891  1 Cd 2.89, 1 Ce 3.15
I: 0.2200 0.6177 0.9063  1 Cd 2.88, 1 Ce 3.15
I: 0.3891 0.0800 0.7843  1 Cd 2.89, 1 Ce 3.15
I: 0.6177 0.9063 0.2200  1 Cd 2.88, 1 Ce 3.15
I: 0.7843 0.3891 0.0800  1 Cd 2.89, 1 Ce 3.15
I: 0.9063 0.2200 0.6177  1 Cd 2.88, 1 Ce 3.15

Properties
E	-0.0984	Ha/atom
formation energy without anion corrections	-0.78	eV per atom
SG	R3

***

(5)
This record from the Alexandria database describes a geometry-optimized NiBr3N structure. The functional is GGA-PBE.

Unit cell a=6.1661 b=6.4129 c=8.2457 alpha=78.67 beta=87.66 gamma=85.75
Last column: nearest neighbours and their distance in Å.
Fractional coordinates of all 10 atoms:
Ni: 0.2373 0.4529 0.0996  1 N 1.75
Ni: 0.7627 0.5471 0.9004  1 N 1.75
Br: 0.0514 0.2902 0.8744  2 Ni 2.37-2.64
Br: 0.1659 0.2844 0.4689  1 N 1.83
Br: 0.4072 0.7217 0.8822  2 Ni 2.38-2.49
Br: 0.5928 0.2783 0.1178  2 Ni 2.38-2.49
Br: 0.8341 0.7156 0.5311  1 N 1.83
Br: 0.9486 0.7098 0.1256  2 Ni 2.37-2.64
N: 0.1363 0.2550 0.2551  1 Ni 1.75, 1 Br 1.83
N: 0.8637 0.7450 0.7449  1 Ni 1.75, 1 Br 1.83

Properties
E	-0.1273	Ha/atom
formation energy without anion corrections	0.36	eV per atom
E above lowest polymorph	0	meV per atom
SG	P-1

***

(6)
This record from the Alexandria database describes a geometry-optimized Ba2Zn6NiPt structure. The functional is GGA-PBE.

Unit cell a=6.8761 b=6.8761 c=6.8761 alpha=120.05 beta=119.93 gamma=90.01
Last column: nearest neighbours and their distance in Å.
Fractional coordinates of all 10 atoms:
Ba: 0.2500 0.2500 0.0000  12 Zn 3.44
Ba: 0.7500 0.7500 0.0000  12 Zn 3.44
Zn: 0.2581 0.2418 0.4998  1 Ni 2.35, 1 Pt 2.51
Zn: 0.2581 0.7582 0.0163  1 Ni 2.35, 1 Pt 2.51
Zn: 0.2580 0.7580 0.5000  1 Ni 2.35, 1 Pt 2.51
Zn: 0.7420 0.2420 0.5000  1 Ni 2.35, 1 Pt 2.51
Zn: 0.7419 0.2418 0.9837  1 Ni 2.35, 1 Pt 2.51
Zn: 0.7419 0.7582 0.5002  1 Ni 2.35, 1 Pt 2.51
Ni: 0.5000 0.0000 0.5000  6 Zn 2.35
Pt: 0.0000 0.5000 0.5000  6 Zn 2.51

Properties
E	-0.0977	Ha/atom
formation enthalpy at 0 K	-0.33	eV per atom
SG	Immm

***

(7)
This record from the Alexandria database describes a geometry-optimized DySc4Cd2 structure. The functional is GGA-PBE.

Unit cell a=6.1238 b=6.1238 c=6.1238 alpha=103.76 beta=103.76 gamma=121.62
Last column: nearest neighbours and their distance in Å.
Fractional coordinates of all 7 atoms:
Dy: 0.0000 0.0000 0.0000  4 Sc 3.21
Sc: 0.3002 0.3002 0.6005  4 Sc 3.02-3.17, 4 Cd 3.11, 1 Dy 3.21
Sc: 0.3002 0.6998 0.0000  4 Sc 3.02-3.17, 4 Cd 3.11, 1 Dy 3.21
Sc: 0.6998 0.3002 0.0000  4 Sc 3.02-3.17, 4 Cd 3.11, 1 Dy 3.21
Sc: 0.6998 0.6998 0.3995  4 Sc 3.02-3.17, 4 Cd 3.11, 1 Dy 3.21
Cd: 0.2500 0.7500 0.5000  2 Cd 2.99, 8 Sc 3.11
Cd: 0.7500 0.2500 0.5000  2 Cd 2.99, 8 Sc 3.11

Properties
E	-0.1669	Ha/atom
formation enthalpy at 0 K	0.00	eV per atom
SG	I4/mmm

***

(8)
This record from the Alexandria database describes a geometry-optimized CaCrSe3 structure. The functional is GGA-PBE.

Unit cell a=5.4329 b=5.4329 c=5.4329 alpha=90.00 beta=90.00 gamma=90.00
Last column: nearest neighbours and their distance in Å.
Fractional coordinates of all 5 atoms:
Ca: 0.0000 0.0000 0.0000  6 Se 2.72
Cr: 0.5000 0.5000 0.5000  12 Se 3.84
Se: 0.0000 0.0000 0.5000  2 Ca 2.72
Se: 0.0000 0.5000 0.0000  2 Ca 2.72
Se: 0.5000 0.0000 0.0000  2 Ca 2.72

Properties
E	-0.1522	Ha/atom
formation energy without anion corrections	0.27	eV per atom
E above lowest polymorph	938	meV per atom
SG	Pm-3m